A plane-wave DFT calculation with GGA-PBE was carried out for a geometry-optimized LiFeP structure.

```
6
Lattice="7.530 0.000 0.000 0.000 3.986 0.000 0.000 0.000 2.593" Properties=species:S:1:pos:R:3 pbc="T T T"
P 1.570 1.993 0.000
P 5.961 1.993 0.000
Fe 4.969 0.000 0.000
Fe 2.561 0.000 0.000
Li 3.765 1.993 1.297
Li 0.000 0.000 1.297
```

Output
formation energy from the elements = -135 meV per atom
space-group type = Pmmm (47)
Fermi-level density of states = 1.854 states/eV/f.u.
M_tot = 4.0 μB per cell